# 1
SrDyHg4: optimized geometry, PBE.

Lattice parameters (Å, degrees): 3.9397 5.7303 8.2555 78.97 103.75 69.95
Closest atoms and distances in Å follow each position.
Atoms (fractional coordinates):
Sr  0.5013  0.4974  0.9981  10 Hg 3.35-3.41
Dy  0.0014  0.9972  0.4981  10 Hg 3.21-3.32
Hg  0.3581  0.9759  0.1857  2 Dy 3.21-3.22, 5 Hg 3.24-3.56, 3 Sr 3.35-3.40
Hg  0.6444  0.0188  0.8106  2 Dy 3.21-3.22, 5 Hg 3.23-3.56, 3 Sr 3.35-3.40
Hg  0.8205  0.5091  0.6486  5 Hg 3.15-3.37, 3 Dy 3.21-3.32, 2 Sr 3.41
Hg  0.1821  0.4854  0.3476  5 Hg 3.15-3.37, 3 Dy 3.21-3.32, 2 Sr 3.41

Calculated values
The calculation puts the energy relative to the elements at -0.3964 eV per atom. The volume is 27.047 A^3/atom. The spin magnetization comes out at 0.00 μB per formula unit.


# 2
Sr3DyHg12: optimized geometry, PBE.

Lattice parameters (Å, degrees): 4.8009 4.8009 19.1342 90.00 90.00 90.00
Closest atoms and distances in Å follow each position.
Atoms (fractional coordinates):
Sr  0.0000  0.0000  0.2438  12 Hg 3.40-3.46
Sr  0.0000  0.0000  0.5000  12 Hg 3.39-3.43
Sr  0.0000  0.0000  0.7562  12 Hg 3.40-3.46
Dy  0.0000  0.0000  0.0000  12 Hg 3.24-3.39
Hg  0.5000  0.5000  0.0000  8 Hg 3.24, 4 Dy 3.39
Hg  0.5000  0.5000  0.2416  4 Sr 3.40, 8 Hg 3.42-3.46
Hg  0.5000  0.5000  0.5000  4 Sr 3.39, 8 Hg 3.43
Hg  0.5000  0.5000  0.7584  4 Sr 3.40, 8 Hg 3.42-3.46
Hg  0.5000  0.0000  0.1139  8 Hg 3.24-3.42, 2 Dy 3.24, 2 Sr 3.46
Hg  0.5000  0.0000  0.3719  8 Hg 3.39-3.46, 4 Sr 3.43
Hg  0.5000  0.0000  0.6281  8 Hg 3.39-3.46, 4 Sr 3.43
Hg  0.5000  0.0000  0.8861  2 Dy 3.24, 8 Hg 3.24-3.42, 2 Sr 3.46
Hg  0.0000  0.5000  0.1139  8 Hg 3.24-3.42, 2 Dy 3.24, 2 Sr 3.46
Hg  0.0000  0.5000  0.3719  8 Hg 3.39-3.46, 4 Sr 3.43
Hg  0.0000  0.5000  0.6281  8 Hg 3.39-3.46, 4 Sr 3.43
Hg  0.0000  0.5000  0.8861  2 Dy 3.24, 8 Hg 3.24-3.42, 2 Sr 3.46

Calculated values
The calculation puts the energy relative to the elements at -0.3612 eV per atom. The volume is 27.564 A^3/atom. The spin magnetization comes out at 0.00 μB per formula unit.


The highest energy relative to the elements belongs to which entry? Sr3DyHg12